Li7NiOF7 | PBE+U | relaxed

Properties
The total DFT energy (no corrections) comes out at -4.78 eV per atom.

Cell and atoms, written as POSCAR:
```
Li7NiOF7
1.0
6.3333 -1.4660 0.0000
6.3333 1.4660 0.0000
-6.0250 0.0000 7.6038
Li Ni O F
7 1 1 7
Cartesian
0.0000 0.0000 0.0000
-0.7355 0.0000 2.8626
-1.3386 0.0000 5.9139
3.9865 0.0000 1.0265
3.3637 0.0000 3.8687
2.5614 0.0000 6.8194
7.9751 0.0000 1.9183
7.2715 0.0000 4.9879
0.6376 0.0000 6.2439
-3.3083 0.0000 5.2752
2.0020 0.0000 0.6261
1.3129 0.0000 3.4224
5.9700 0.0000 1.5511
5.2929 0.0000 4.3008
4.5569 0.0000 7.2477
9.9612 0.0000 2.4744
```